Record 1
DFT (PBE) results for NaCd2Hg7 after structural relaxation.

Properties
**Total DFT energy (no corrections)**: -0.563 eV per atom
**Spin magnetization**: 0.000 μB/f.u.
**Formation energy from the elements**: -0.037 eV per atom

a = 3.135 Å, b = 5.999 Å, c = 14.043 Å
α = 102.33°, β = 90.00°, γ = 90.00°
Sites, in units of the cell vectors:
Hg 0.500 0.654 0.801
Hg 0.500 0.146 0.801
Hg 0.500 0.346 0.199
Hg 0.500 0.854 0.199
Hg 0.500 0.500 0.000
Hg 0.000 0.204 0.408
Hg 0.000 0.796 0.592
Cd 0.500 0.697 0.394
Cd 0.500 0.303 0.606
Na 0.000 0.000 0.000


Record 2
DFT (PBE) results for NaCd2Hg after structural relaxation.

Properties
**Total DFT energy (no corrections)**: -0.972 eV per atom
**Spin magnetization**: 0.000 μB/f.u.
**Formation energy from the elements**: -0.109 eV per atom

a = 4.636 Å, b = 4.537 Å, c = 4.537 Å
α = 90.00°, β = 90.00°, γ = 90.00°
Sites, in units of the cell vectors:
Cd 0.000 0.000 0.500
Cd 0.000 0.500 0.000
Hg 0.500 0.500 0.500
Na 0.500 0.000 0.000


Question: spin magnetization of number 1 (NaCd2Hg7)?
Answer: 0.000 μB/f.u.